LiV2CrO8 PBE with a Hubbard U optimized geometry; energy = -0.497 Ry per atom
1.0
-5.347 0.040 -1.614
1.784 -4.926 1.934
0.481 3.675 4.178
O V Cr Li
8 2 1 1
Cartesian
-1.694 0.899 0.812
-4.459 -0.094 0.266
-1.177 2.323 2.991
-0.700 -1.881 1.399
-3.599 -0.569 2.585
-0.873 -0.380 3.850
-3.413 -2.483 0.757
-3.541 2.309 1.785
-3.323 0.636 1.362
-1.781 -2.443 0.160
0.242 -1.847 3.136
0.000 0.000 0.000